PBE La3SbI2, optimized geometry; total magnetic moment = 0.000 μB/atom; raw total energy = -28.61 eV/cell
1.0
-4.651 -0.650 0.860
-0.605 -3.141 -5.647
3.997 -3.855 5.446
I La Sb
2 3 1
direct
0.169 0.169 0.837
0.831 0.831 0.163
0.157 0.657 0.813
0.843 0.343 0.187
0.500 0.000 0.500
0.500 0.500 0.500